Density functional theory data (PBE) for TmIn2HgTe4 after structural relaxation.

a b c (Å): 7.7508 4.3561 8.0003
angles (deg): 90.00 109.86 90.00
Space group P2/m (No. 10)
Inequivalent atoms, fractional coordinates:
1 Tm 0.0000 0.0000 0.0000
2 In 0.5000 0.0000 0.5000
3 In 0.5000 0.5000 0.0000
4 Hg 0.0000 0.5000 0.5000
5 Te 0.2395 0.5000 0.2279
6 Te 0.2483 0.0000 0.7656

* spin magnetization: 0.000 Bohr magnetons per cell
* calculated volume: 254.04 Å³ per cell
* E: -3.38 eV per atom
* formation energy without anion corrections: -0.5326 eV per atom